Entry from the Alexandria database: a relaxed LiPtCl4 crystal (PBE).

The structure in CIF format:
```
data_LiPtCl4
_chemical_formula_sum 'Li4 Pt4 Cl16'
_space_group_name_H-M_alt 'C 1 2/c 1'
_space_group_IT_number 15
_cell_length_a 16.2183
_cell_length_b 3.7562
_cell_length_c 12.5924
_cell_angle_alpha 90.00
_cell_angle_beta 129.67
_cell_angle_gamma 90.00
loop_
_space_group_symop_operation_xyz
'x,y,z'
'-x,-y,-z'
'-x,y,-z+1/2'
'x,-y,z+1/2'
'x+1/2,y+1/2,z'
'-x+1/2,-y+1/2,-z'
'-x+1/2,y+1/2,-z+1/2'
'x+1/2,-y+1/2,z+1/2'
loop_
_atom_site_label
_atom_site_fract_x
_atom_site_fract_y
_atom_site_fract_z
Li1 0.0000 0.0163 0.2500
Pt1 0.0000 0.5000 0.0000
Cl1 0.1043 0.4876 0.9306
Cl2 0.1105 0.0635 0.1675
```

Summary:
Uncorrected energy, eV per atom: -3.399
Formation energy from raw total energies, meV/atom: -842